Record 1
First-principles (GGA-PBE) data for a relaxed structure of Li2TeW, as listed in the Alexandria database.

* raw formation energy: 0.394 eV/atom
* uncorrected energy: -4.587 eV/atom

Cell lengths 3.995, 3.995, 4.115 Å; angles 90.00, 90.00, 90.00 degrees
Positions (direct):
Li 0.000 0.500 0.000
Li 0.500 0.000 0.000
Te 0.000 0.000 0.500
W 0.500 0.500 0.500

Record 2
First-principles (GGA-PBE) data for a relaxed structure of LiTeW, as listed in the Alexandria database.

* raw formation energy: 0.331 eV/atom
* excess energy over the best structure of this formula in the dataset: 0 meV/atom
* uncorrected energy: -5.672 eV/atom

Cell lengths 3.377, 3.377, 8.830 Å; angles 90.00, 90.00, 90.00 degrees
Positions (direct):
Li 0.000 0.000 0.000
Li 0.500 0.500 0.500
Te 0.000 0.000 0.668
Te 0.500 0.500 0.168
W 0.000 0.000 0.331
W 0.500 0.500 0.831

Record 3
First-principles (GGA-PBE) data for a relaxed structure of Li2TeW, as listed in the Alexandria database.

* raw formation energy: 0.349 eV/atom
* uncorrected energy: -4.632 eV/atom

Cell lengths 2.780, 4.847, 5.353 Å; angles 90.00, 90.03, 90.00 degrees
Positions (direct):
Li 0.000 0.000 0.000
Li 0.003 0.500 0.732
Te 0.502 0.500 0.250
W 0.502 0.000 0.505